i:
Below is a relaxed NaNdCd4 crystal, with properties calculated at the PBE-GGA level.

Unit cell a=5.038 b=5.040 c=7.012 alpha=91.06 beta=90.14 gamma=119.98
Space group P-1 (No. 2)
Unique sites:
Na 0.000 0.000 0.000 x1
Nd 0.000 0.000 0.500 x1
Cd 0.331 0.663 0.254 x2
Cd 0.335 0.670 0.745 x2

## Properties
density of states at the Fermi level: 3.87 states/eV/f.u.
M_tot: 0.00 Bohr magnetons per cell

---

ii:
Below is a relaxed NaNdCd4 crystal, with properties calculated at the PBE-GGA level.

Unit cell a=8.465 b=8.465 c=8.465 alpha=90.00 beta=90.00 gamma=90.00
Space group F-43m (No. 216)
Unique sites:
Na 0.000 0.000 0.000 x4
Nd 0.250 0.250 0.250 x4
Cd 0.125 0.125 0.625 x16

## Properties
density of states at the Fermi level: 5.36 states/eV/f.u.
M_tot: 0.00 Bohr magnetons per cell

---

So which one is most stable? That would be i, about 41 meV/atom below the next structure.

---

i:
Below is a relaxed Na3CdNi crystal, with properties calculated at the PBE-GGA level.

Unit cell a=5.587 b=5.587 c=5.587 alpha=90.00 beta=90.00 gamma=90.00
Space group Pm-3m (No. 221)
Unique sites:
Na 0.000 0.000 0.500 x3
Cd 0.000 0.000 0.000 x1
Ni 0.500 0.500 0.500 x1

## Properties
density of states at the Fermi level: 5.70 states/eV/f.u.
M_tot: 0.00 Bohr magnetons per cell

---

ii:
Below is a relaxed Na3CdNi crystal, with properties calculated at the PBE-GGA level.

Unit cell a=5.326 b=5.326 c=5.326 alpha=90.00 beta=90.00 gamma=90.00
Space group Pm-3m (No. 221)
Unique sites:
Na 0.000 0.000 0.500 x3
Cd 0.500 0.500 0.500 x1
Ni 0.000 0.000 0.000 x1

## Properties
density of states at the Fermi level: 3.57 states/eV/f.u.
M_tot: 0.00 Bohr magnetons per cell

---

So which one is most stable? That would be ii, about 342 meV/atom below the next structure.

---

i:
Below is a relaxed Na3CdO crystal, with properties calculated at the PBE-GGA level.

Unit cell a=4.762 b=4.762 c=4.762 alpha=90.00 beta=90.00 gamma=90.00
Space group Pm-3m (No. 221)
Unique sites:
Na 0.000 0.000 0.500 x3
Cd 0.500 0.500 0.500 x1
O 0.000 0.000 0.000 x1

## Properties
density of states at the Fermi level: 4.47 states/eV/f.u.
M_tot: 0.00 Bohr magnetons per cell

---

ii:
Below is a relaxed Na3CdO crystal, with properties calculated at the PBE-GGA level.

Unit cell a=5.586 b=5.586 c=5.586 alpha=90.00 beta=90.00 gamma=90.00
Space group Pm-3m (No. 221)
Unique sites:
Na 0.000 0.000 0.500 x3
Cd 0.000 0.000 0.000 x1
O 0.500 0.500 0.500 x1

## Properties
density of states at the Fermi level: 7.02 states/eV/f.u.
M_tot: 0.00 Bohr magnetons per cell

---

So which one is most stable? That would be i, about 1085 meV/atom below the next structure.

---

i:
Below is a relaxed NaCdO crystal, with properties calculated at the PBE-GGA level.

Unit cell a=4.675 b=4.675 c=10.536 alpha=90.00 beta=90.00 gamma=90.00
Space group I4_1md (No. 109)
Unique sites:
Na 0.000 0.000 0.000 x4
Cd 0.000 0.000 0.555 x4
O 0.000 0.000 0.775 x4

## Properties
density of states at the Fermi level: 0.56 states/eV/f.u.
M_tot: 0.00 Bohr magnetons per cell

---

ii:
Below is a relaxed NaCdO crystal, with properties calculated at the PBE-GGA level.

Unit cell a=3.935 b=3.935 c=7.205 alpha=90.00 beta=90.00 gamma=90.00
Space group I4mm (No. 107)
Unique sites:
Na 0.000 0.000 0.000 x2
Cd 0.000 0.000 0.623 x2
O 0.000 0.000 0.319 x2

## Properties
density of states at the Fermi level: 1.74 states/eV/f.u.
M_tot: 0.00 Bohr magnetons per cell

---

iii:
Below is a relaxed NaCdO crystal, with properties calculated at the PBE-GGA level.

Unit cell a=6.559 b=6.182 c=7.172 alpha=90.00 beta=90.00 gamma=90.00
Space group Pnma (No. 62)
Unique sites:
Na 0.000 0.000 0.000 x4
Cd 0.018 0.250 0.417 x4
O 0.163 0.750 0.838 x4

## Properties
density of states at the Fermi level: 0.67 states/eV/f.u.
M_tot: 0.00 Bohr magnetons per cell

---

iv:
Below is a relaxed NaCdO crystal, with properties calculated at the PBE-GGA level.

Unit cell a=3.3835 b=3.3835 c=5.6092 alpha=90.00 beta=90.00 gamma=120.00
Space group P3m1 (No. 156)
Unique sites:
Na 0.0000 0.0000 0.0000 x1
Cd 0.3333 0.6667 0.4467 x1
O 0.6667 0.3333 0.2266 x1

## Properties
density of states at the Fermi level: 0.75 states/eV/f.u.
M_tot: 0.00 Bohr magnetons per cell

---

So which one is most stable? That would be iv, about 45 meV/atom below the next structure.